[1]
Density functional theory data (PBE with a Hubbard U) for Rb3NpMn2O6 after structural relaxation.

a = 5.883 Å, b = 5.883 Å, c = 6.766 Å
α = 98.13°, β = 98.13°, γ = 120.27°
Sites, in units of the cell vectors:
Rb 0.000 0.000 0.000
Rb 0.327 0.673 0.000
Rb 0.673 0.327 0.000
Np 0.500 0.500 0.500
Mn 0.167 0.833 0.500
Mn 0.833 0.167 0.500
O 0.123 0.440 0.325
O 0.243 0.243 0.679
O 0.440 0.123 0.325
O 0.560 0.877 0.675
O 0.757 0.757 0.321
O 0.877 0.560 0.675

## Properties
N(E_F) = 7.91 states/eV/f.u.
E = -6.941 eV per atom

---

[2]
Density functional theory data (PBE with a Hubbard U) for NpMn2RhO8 after structural relaxation.

a = 4.860 Å, b = 6.092 Å, c = 4.929 Å
α = 90.00°, β = 94.66°, γ = 90.00°
Sites, in units of the cell vectors:
Np 0.000 0.000 0.000
Mn 0.500 0.257 0.500
Mn 0.500 0.743 0.500
Rh 0.000 0.500 0.000
O 0.196 0.249 0.821
O 0.196 0.751 0.821
O 0.292 0.500 0.316
O 0.308 0.000 0.322
O 0.692 0.000 0.678
O 0.708 0.500 0.684
O 0.804 0.249 0.179
O 0.804 0.751 0.179

## Properties
N(E_F) = 6.19 states/eV/f.u.
E = -7.979 eV per atom

---

[3]
Density functional theory data (PBE with a Hubbard U) for NpScMnO6 after structural relaxation.

a = 5.488 Å, b = 5.488 Å, c = 9.115 Å
α = 90.00°, β = 90.00°, γ = 120.00°
Sites, in units of the cell vectors:
Np 0.333 0.667 0.250
Np 0.667 0.333 0.750
Sc 0.333 0.667 0.750
Sc 0.667 0.333 0.250
Mn 0.000 0.000 0.000
Mn 0.000 0.000 0.500
O 0.012 0.355 0.135
O 0.012 0.657 0.365
O 0.343 0.355 0.365
O 0.343 0.988 0.135
O 0.355 0.012 0.635
O 0.355 0.343 0.865
O 0.645 0.657 0.135
O 0.645 0.988 0.365
O 0.657 0.012 0.865
O 0.657 0.645 0.635
O 0.988 0.343 0.635
O 0.988 0.645 0.865

## Properties
E = -8.860 eV per atom

---

Repeat the first record exactly.
Density functional theory data (PBE with a Hubbard U) for Rb3NpMn2O6 after structural relaxation.

a = 5.883 Å, b = 5.883 Å, c = 6.766 Å
α = 98.13°, β = 98.13°, γ = 120.27°
Sites, in units of the cell vectors:
Rb 0.000 0.000 0.000
Rb 0.327 0.673 0.000
Rb 0.673 0.327 0.000
Np 0.500 0.500 0.500
Mn 0.167 0.833 0.500
Mn 0.833 0.167 0.500
O 0.123 0.440 0.325
O 0.243 0.243 0.679
O 0.440 0.123 0.325
O 0.560 0.877 0.675
O 0.757 0.757 0.321
O 0.877 0.560 0.675

## Properties
N(E_F) = 7.91 states/eV/f.u.
E = -6.941 eV per atom

---

What did the first record say?
Density functional theory data (PBE with a Hubbard U) for Rb3NpMn2O6 after structural relaxation.

a = 5.883 Å, b = 5.883 Å, c = 6.766 Å
α = 98.13°, β = 98.13°, γ = 120.27°
Sites, in units of the cell vectors:
Rb 0.000 0.000 0.000
Rb 0.327 0.673 0.000
Rb 0.673 0.327 0.000
Np 0.500 0.500 0.500
Mn 0.167 0.833 0.500
Mn 0.833 0.167 0.500
O 0.123 0.440 0.325
O 0.243 0.243 0.679
O 0.440 0.123 0.325
O 0.560 0.877 0.675
O 0.757 0.757 0.321
O 0.877 0.560 0.675

## Properties
N(E_F) = 7.91 states/eV/f.u.
E = -6.941 eV per atom

---

Q: Among the records above, which one has the highest E?
A: Rb3NpMn2O6

---

Q: Which of these has the highest E?
A: Rb3NpMn2O6